NpCr2CuO8, optimized geometry, DFT PBE+U; E_tot = -7.73 eV/atom; spin magnetization = 4.0 Bohr magnetons per cell
1.0
4.720 -0.028 -0.004
0.016 4.716 -0.004
0.002 0.009 6.130
O Cr Cu Np
8 2 1 1
direct
0.312 0.310 0.000 O
0.690 0.691 0.500 O
0.201 0.797 0.748 O
0.201 0.797 0.252 O
0.688 0.690 0.000 O
0.310 0.309 0.500 O
0.799 0.203 0.748 O
0.799 0.203 0.252 O
0.500 0.500 0.763 Cr
0.500 0.500 0.237 Cr
0.000 0.000 0.000 Cu
0.000 0.000 0.500 Np